Here is crystalline AlGePdAu at its relaxed geometry from OQMD. Energies are from GGA-PBE.

ρ (g/cm³): 10.10
Energy above the most stable polymorph in this dataset (meV per atom): 0

Cell: 6.422 6.422 6.422 Å, 90.00 90.00 90.00°
Sites, in units of the cell vectors:
1 Al 0.000 0.000 0.000
2 Al 0.000 0.500 0.500
3 Al 0.500 0.000 0.500
4 Al 0.500 0.500 0.000
5 Ge 0.000 0.000 0.500
6 Ge 0.000 0.500 0.000
7 Ge 0.500 0.000 0.000
8 Ge 0.500 0.500 0.500
9 Pd 0.250 0.250 0.250
10 Pd 0.250 0.750 0.750
11 Pd 0.750 0.250 0.750
12 Pd 0.750 0.750 0.250
13 Au 0.250 0.250 0.750
14 Au 0.250 0.750 0.250
15 Au 0.750 0.250 0.250
16 Au 0.750 0.750 0.750

Here is crystalline ScGaFeAu at its relaxed geometry from OQMD. Energies are from GGA-PBE.

ρ (g/cm³): 9.48
Energy above the most stable polymorph in this dataset (meV per atom): 0

Cell: 6.362 6.362 6.362 Å, 90.00 90.00 90.00°
Sites, in units of the cell vectors:
1 Sc 0.000 0.000 0.000
2 Sc 0.000 0.500 0.500
3 Sc 0.500 0.000 0.500
4 Sc 0.500 0.500 0.000
5 Ga 0.000 0.000 0.500
6 Ga 0.000 0.500 0.000
7 Ga 0.500 0.000 0.000
8 Ga 0.500 0.500 0.500
9 Fe 0.250 0.250 0.750
10 Fe 0.250 0.750 0.250
11 Fe 0.750 0.250 0.250
12 Fe 0.750 0.750 0.750
13 Au 0.250 0.250 0.250
14 Au 0.250 0.750 0.750
15 Au 0.750 0.250 0.750
16 Au 0.750 0.750 0.250

Here is crystalline Tm3Al3GeIr2 at its relaxed geometry from OQMD. Energies are from GGA-PBE.

ρ (g/cm³): 10.14
Energy above the most stable polymorph in this dataset (meV per atom): 388

Cell: 7.918 7.918 3.152 Å, 90.00 90.00 120.00°
Sites, in units of the cell vectors:
1 Tm 0.000 0.709 0.000
2 Tm 0.291 0.291 0.000
3 Tm 0.709 0.000 0.000
4 Al 0.000 0.386 0.500
5 Al 0.386 0.000 0.500
6 Al 0.614 0.614 0.500
7 Ge 0.000 0.000 0.500
8 Ir 0.333 0.667 0.000
9 Ir 0.667 0.333 0.000

Here is crystalline ScCoAgAs at its relaxed geometry from OQMD. Energies are from GGA-PBE.

ρ (g/cm³): 7.48
Energy above the most stable polymorph in this dataset (meV per atom): 0

Cell: 6.337 6.337 6.337 Å, 90.00 90.00 90.00°
Sites, in units of the cell vectors:
1 Sc 0.000 0.000 0.000
2 Sc 0.000 0.500 0.500
3 Sc 0.500 0.000 0.500
4 Sc 0.500 0.500 0.000
5 Co 0.000 0.000 0.500
6 Co 0.000 0.500 0.000
7 Co 0.500 0.000 0.000
8 Co 0.500 0.500 0.500
9 Ag 0.250 0.250 0.750
10 Ag 0.250 0.750 0.250
11 Ag 0.750 0.250 0.250
12 Ag 0.750 0.750 0.750
13 As 0.250 0.250 0.250
14 As 0.250 0.750 0.750
15 As 0.750 0.250 0.750
16 As 0.750 0.750 0.250

Here is crystalline La3Sb3Mo2N12 at its relaxed geometry from OQMD. Energies are from GGA-PBE.

Energy (eV per atom): -7.699
ρ (g/cm³): 6.71

Cell: 11.365 11.365 11.365 Å, 109.47 109.47 109.47°
Sites, in units of the cell vectors:
1 La 0.125 0.250 0.375
2 La 0.125 0.375 0.750
3 La 0.250 0.375 0.125
4 La 0.250 0.875 0.625
5 La 0.375 0.125 0.250
6 La 0.375 0.750 0.125
7 La 0.625 0.250 0.875
8 La 0.625 0.875 0.750
9 La 0.750 0.125 0.375
10 La 0.750 0.625 0.875
11 La 0.875 0.625 0.250
12 La 0.875 0.750 0.625
13 Sb 0.125 0.750 0.875
14 Sb 0.125 0.875 0.250
15 Sb 0.250 0.125 0.875
16 Sb 0.250 0.625 0.375
17 Sb 0.375 0.250 0.625
18 Sb 0.375 0.625 0.750
19 Sb 0.625 0.375 0.250
20 Sb 0.625 0.750 0.375
21 Sb 0.750 0.375 0.625
22 Sb 0.750 0.875 0.125
23 Sb 0.875 0.125 0.750
24 Sb 0.875 0.250 0.125
25 Mo 0.000 0.000 0.000
26 Mo 0.000 0.000 0.500
27 Mo 0.000 0.500 0.000
28 Mo 0.000 0.500 0.500
29 Mo 0.500 0.000 0.000
30 Mo 0.500 0.000 0.500
31 Mo 0.500 0.500 0.000
32 Mo 0.500 0.500 0.500
33 N 0.023 0.196 0.113
34 N 0.023 0.327 0.911
35 N 0.084 0.696 0.673
36 N 0.084 0.887 0.411
37 N 0.089 0.613 0.416
38 N 0.089 0.977 0.673
39 N 0.113 0.023 0.196
40 N 0.113 0.589 0.916
41 N 0.173 0.196 0.584
42 N 0.173 0.477 0.589
43 N 0.196 0.113 0.023
44 N 0.196 0.584 0.173
45 N 0.304 0.327 0.916
46 N 0.304 0.477 0.387
47 N 0.327 0.911 0.023
48 N 0.327 0.916 0.304
49 N 0.387 0.304 0.477
50 N 0.387 0.584 0.911
51 N 0.411 0.084 0.887
52 N 0.411 0.827 0.523
53 N 0.416 0.089 0.613
54 N 0.416 0.827 0.804
55 N 0.477 0.387 0.304
56 N 0.477 0.589 0.173
57 N 0.523 0.411 0.827
58 N 0.523 0.613 0.696
59 N 0.584 0.173 0.196
60 N 0.584 0.911 0.387
61 N 0.589 0.173 0.477
62 N 0.589 0.916 0.113
63 N 0.613 0.416 0.089
64 N 0.613 0.696 0.523
65 N 0.673 0.084 0.696
66 N 0.673 0.089 0.977
67 N 0.696 0.523 0.613
68 N 0.696 0.673 0.084
69 N 0.804 0.416 0.827
70 N 0.804 0.887 0.977
71 N 0.827 0.523 0.411
72 N 0.827 0.804 0.416
73 N 0.887 0.411 0.084
74 N 0.887 0.977 0.804
75 N 0.911 0.023 0.327
76 N 0.911 0.387 0.584
77 N 0.916 0.113 0.589
78 N 0.916 0.304 0.327
79 N 0.977 0.673 0.089
80 N 0.977 0.804 0.887

Here is crystalline ZrF2 at its relaxed geometry from OQMD. Energies are from GGA-PBE.

Energy (eV per atom): -6.767
ρ (g/cm³): 4.89

Cell: 5.643 5.643 2.753 Å, 90.00 90.00 90.00°
Sites, in units of the cell vectors:
1 Zr 0.000 0.000 0.000
2 Zr 0.500 0.500 0.500
3 F 0.224 0.224 0.500
4 F 0.276 0.724 0.000
5 F 0.724 0.276 0.000
6 F 0.776 0.776 0.500